{
  "formula": "BaZn",
  "functional": "GGA-PBE",
  "state": "relaxed",
  "lattice_angstrom": [[9.3602, -0.9677, 0.0000], [0.7473, 7.7435, 0.0000], [0.0000, 0.0000, 5.6291]],
  "species": ["Ba", "Ba", "Ba", "Ba", "Ba", "Ba", "Zn", "Zn", "Zn", "Zn", "Zn", "Zn"],
  "fractional_positions": [[0.8498, 0.1909, 0.0000], [0.2830, 0.2504, 0.0000], [0.6584, 0.7046, 0.0000], [0.5638, 0.3511, 0.5000], [0.9390, 0.8055, 0.5000], [0.3725, 0.8649, 0.5000], [0.0143, 0.5701, 0.0000], [0.3017, 0.6598, 0.0000], [0.1103, 0.8949, 0.0000], [0.1120, 0.1605, 0.5000], [0.9206, 0.3956, 0.5000], [0.2078, 0.4851, 0.5000]],
  "energy_ev_per_atom": -1.648
}